! La5Pm12Pr, relaxed, DFT PBE-GGA; values from VASP
&SYSTEM
  ibrav = 0, nat = 18, ntyp = 3
/
ATOMIC_SPECIES
La 138.91 La.upf
Pm 145.00 Pm.upf
Pr 140.91 Pr.upf
ATOMIC_POSITIONS crystal
La 0.000 0.000 0.000
La 0.166 0.834 0.500
La 0.333 0.667 0.000
La 0.667 0.333 0.000
La 0.834 0.166 0.500
Pm 0.013 0.346 0.945
Pm 0.155 0.488 0.445
Pm 0.181 0.181 0.557
Pm 0.322 0.322 0.056
Pm 0.346 0.013 0.945
Pm 0.488 0.155 0.445
Pm 0.512 0.845 0.555
Pm 0.654 0.987 0.055
Pm 0.678 0.678 0.944
Pm 0.819 0.819 0.443
Pm 0.845 0.512 0.555
Pm 0.987 0.654 0.055
Pr 0.500 0.500 0.500
CELL_PARAMETERS angstrom
5.940 -8.824 0.000
5.940 8.824 0.000
-0.012 0.000 6.113
! - total energy (Ha/atom) = -0.17338
! - formation energy from the elements (eV per atom) = 0.08

=====

! LaPm5Pr3, relaxed, DFT PBE-GGA; values from VASP
&SYSTEM
  ibrav = 0, nat = 18, ntyp = 3
/
ATOMIC_SPECIES
La 138.91 La.upf
Pm 145.00 Pm.upf
Pr 140.91 Pr.upf
ATOMIC_POSITIONS crystal
La 0.182 0.818 0.750
La 0.818 0.182 0.250
Pm 0.013 0.660 0.001
Pm 0.013 0.660 0.499
Pm 0.175 0.825 0.250
Pm 0.340 0.987 0.001
Pm 0.340 0.987 0.499
Pm 0.660 0.013 0.501
Pm 0.660 0.013 0.999
Pm 0.825 0.175 0.750
Pm 0.987 0.340 0.501
Pm 0.987 0.340 0.999
Pr 0.315 0.318 0.750
Pr 0.318 0.315 0.250
Pr 0.500 0.500 0.000
Pr 0.500 0.500 0.500
Pr 0.682 0.685 0.750
Pr 0.685 0.682 0.250
CELL_PARAMETERS angstrom
9.117 -4.800 0.000
9.117 4.800 0.000
0.000 0.000 7.321
! - total energy (Ha/atom) = -0.17111
! - energy above the most stable polymorph in this dataset (eV per atom) = 0.000
! - formation energy from the elements (eV per atom) = 0.12

=====

! La6Pm12Pr, relaxed, DFT PBE-GGA; values from VASP
&SYSTEM
  ibrav = 0, nat = 19, ntyp = 3
/
ATOMIC_SPECIES
La 138.91 La.upf
Pm 145.00 Pm.upf
Pr 140.91 Pr.upf
ATOMIC_POSITIONS crystal
La 0.054 0.579 0.369
La 0.369 0.054 0.579
La 0.421 0.631 0.946
La 0.579 0.369 0.054
La 0.631 0.946 0.421
La 0.946 0.421 0.631
Pm 0.106 0.157 0.737
Pm 0.157 0.737 0.106
Pm 0.210 0.315 0.473
Pm 0.263 0.894 0.843
Pm 0.315 0.473 0.210
Pm 0.473 0.210 0.315
Pm 0.527 0.790 0.685
Pm 0.685 0.527 0.790
Pm 0.737 0.106 0.157
Pm 0.790 0.685 0.527
Pm 0.843 0.263 0.894
Pm 0.894 0.843 0.263
Pr 0.000 0.000 0.000
CELL_PARAMETERS angstrom
8.029 4.635 3.015
-8.029 4.635 3.015
0.000 -9.271 3.015
! - total energy (Ha/atom) = -0.17602
! - energy above the most stable polymorph in this dataset (eV per atom) = 0.000
! - formation energy from the elements (eV per atom) = 0.02

=====

! La8Pm3Pr3, relaxed, DFT PBE-GGA; values from VASP
&SYSTEM
  ibrav = 0, nat = 14, ntyp = 3
/
ATOMIC_SPECIES
La 138.91 La.upf
Pm 145.00 Pm.upf
Pr 140.91 Pr.upf
ATOMIC_POSITIONS crystal
La 0.058 0.395 0.663
La 0.067 0.225 0.841
La 0.268 0.605 0.663
La 0.384 0.225 0.159
La 0.616 0.775 0.841
La 0.732 0.395 0.337
La 0.933 0.775 0.159
La 0.942 0.605 0.337
Pm 0.000 0.000 0.000
Pm 0.303 0.000 0.303
Pm 0.697 0.000 0.697
Pr 0.322 0.822 0.500
Pr 0.500 0.500 0.000
Pr 0.678 0.178 0.500
CELL_PARAMETERS angstrom
-2.924 5.529 7.853
2.924 -5.529 7.853
2.924 5.529 -7.853
! - total energy (Ha/atom) = -0.17544
! - energy above the most stable polymorph in this dataset (eV per atom) = 0.000
! - formation energy from the elements (eV per atom) = 0.08

=====

! La6PmPr5, relaxed, DFT PBE-GGA; values from VASP
&SYSTEM
  ibrav = 0, nat = 12, ntyp = 3
/
ATOMIC_SPECIES
La 138.91 La.upf
Pm 145.00 Pm.upf
Pr 140.91 Pr.upf
ATOMIC_POSITIONS crystal
La 0.083 0.416 0.750
La 0.249 0.249 0.251
La 0.416 0.083 0.750
La 0.584 0.917 0.250
La 0.751 0.751 0.749
La 0.917 0.584 0.250
Pm 0.000 0.000 0.500
Pr 0.166 0.834 0.000
Pr 0.333 0.667 0.500
Pr 0.500 0.500 0.000
Pr 0.667 0.333 0.500
Pr 0.834 0.166 0.000
CELL_PARAMETERS angstrom
6.150 -5.578 0.000
6.150 5.578 0.000
-1.117 0.000 6.360
! - total energy (Ha/atom) = -0.17795
! - energy above the most stable polymorph in this dataset (eV per atom) = 0.000
! - formation energy from the elements (eV per atom) = 0.01

=====

! La5Pm3Pr, relaxed, DFT PBE-GGA; values from VASP
&SYSTEM
  ibrav = 0, nat = 18, ntyp = 3
/
ATOMIC_SPECIES
La 138.91 La.upf
Pm 145.00 Pm.upf
Pr 140.91 Pr.upf
ATOMIC_POSITIONS crystal
La 0.000 0.000 0.000
La 0.061 0.561 0.898
La 0.163 0.061 0.500
La 0.337 0.837 0.898
La 0.439 0.337 0.500
La 0.500 0.500 0.000
La 0.561 0.663 0.500
La 0.663 0.163 0.102
La 0.837 0.939 0.500
La 0.939 0.439 0.102
Pm 0.119 0.381 0.500
Pm 0.250 0.250 0.000
Pm 0.381 0.881 0.261
Pm 0.619 0.119 0.739
Pm 0.750 0.750 0.000
Pm 0.881 0.619 0.500
Pr 0.250 0.750 0.500
Pr 0.750 0.250 0.500
CELL_PARAMETERS angstrom
-4.482 4.482 8.091
4.482 -4.482 8.091
4.482 4.482 -8.091
! - total energy (Ha/atom) = -0.16973
! - energy above the most stable polymorph in this dataset (eV per atom) = 0.008
! - formation energy from the elements (eV per atom) = 0.23

=====

! LaPm4Pr3, relaxed, DFT PBE-GGA; values from VASP
&SYSTEM
  ibrav = 0, nat = 16, ntyp = 3
/
ATOMIC_SPECIES
La 138.91 La.upf
Pm 145.00 Pm.upf
Pr 140.91 Pr.upf
ATOMIC_POSITIONS crystal
La 0.000 0.000 0.000
La 0.500 0.000 0.500
Pm 0.000 0.000 0.500
Pm 0.000 0.500 0.000
Pm 0.250 0.250 0.250
Pm 0.250 0.750 0.750
Pm 0.500 0.000 0.000
Pm 0.500 0.500 0.500
Pm 0.750 0.250 0.250
Pm 0.750 0.750 0.750
Pr 0.000 0.500 0.500
Pr 0.250 0.250 0.750
Pr 0.250 0.750 0.250
Pr 0.500 0.500 0.000
Pr 0.750 0.250 0.750
Pr 0.750 0.750 0.250
CELL_PARAMETERS angstrom
10.461 0.000 0.000
0.000 7.363 0.000
0.000 0.000 7.365
! - total energy (Ha/atom) = -0.17524
! - energy above the most stable polymorph in this dataset (eV per atom) = 0.000
! - formation energy from the elements (eV per atom) = 0.02

=====

! LaPm8Pr4, relaxed, DFT PBE-GGA; values from VASP
&SYSTEM
  ibrav = 0, nat = 13, ntyp = 3
/
ATOMIC_SPECIES
La 138.91 La.upf
Pm 145.00 Pm.upf
Pr 140.91 Pr.upf
ATOMIC_POSITIONS crystal
La 0.000 0.000 0.000
Pm 0.252 0.734 0.734
Pm 0.263 0.263 0.263
Pm 0.266 0.266 0.748
Pm 0.266 0.748 0.266
Pm 0.734 0.252 0.734
Pm 0.734 0.734 0.252
Pm 0.737 0.737 0.737
Pm 0.748 0.266 0.266
Pr 0.000 0.000 0.500
Pr 0.000 0.500 0.000
Pr 0.500 0.000 0.000
Pr 0.500 0.500 0.500
CELL_PARAMETERS angstrom
5.703 3.293 4.517
-5.703 3.293 4.517
0.000 -6.586 4.517
! - total energy (Ha/atom) = -0.15776
! - formation energy from the elements (eV per atom) = 0.48

=====

! La5PmPr7, relaxed, DFT PBE-GGA; values from VASP
&SYSTEM
  ibrav = 0, nat = 13, ntyp = 3
/
ATOMIC_SPECIES
La 138.91 La.upf
Pm 145.00 Pm.upf
Pr 140.91 Pr.upf
ATOMIC_POSITIONS crystal
La 0.000 0.000 0.000
La 0.269 0.326 0.498
La 0.269 0.771 0.943
La 0.828 0.326 0.057
La 0.828 0.771 0.502
Pm 0.244 0.744 0.500
Pr 0.112 0.283 0.829
Pr 0.454 0.283 0.171
Pr 0.517 0.517 0.000
Pr 0.543 0.043 0.500
Pr 0.605 0.784 0.821
Pr 0.838 0.338 0.500
Pr 0.963 0.784 0.179
CELL_PARAMETERS angstrom
-3.504 5.595 6.115
3.504 -5.595 6.115
3.504 5.595 -6.115
! - total energy (Ha/atom) = -0.17046
! - formation energy from the elements (eV per atom) = 0.20

=====

! LaPm3Pr5, relaxed, DFT PBE-GGA; values from VASP
&SYSTEM
  ibrav = 0, nat = 18, ntyp = 3
/
ATOMIC_SPECIES
La 138.91 La.upf
Pm 145.00 Pm.upf
Pr 140.91 Pr.upf
ATOMIC_POSITIONS crystal
La 0.106 0.106 0.314
La 0.894 0.894 0.686
Pm 0.000 0.000 0.000
Pm 0.000 0.000 0.500
Pm 0.223 0.223 0.143
Pm 0.312 0.312 0.673
Pm 0.688 0.688 0.327
Pm 0.777 0.777 0.857
Pr 0.166 0.551 0.441
Pr 0.199 0.199 0.850
Pr 0.324 0.676 0.000
Pr 0.449 0.834 0.559
Pr 0.454 0.454 0.245
Pr 0.546 0.546 0.755
Pr 0.551 0.166 0.441
Pr 0.676 0.324 0.000
Pr 0.801 0.801 0.150
Pr 0.834 0.449 0.559
CELL_PARAMETERS angstrom
8.053 -4.293 0.000
8.053 4.293 0.000
-6.689 0.000 10.150
! - total energy (Ha/atom) = -0.16143
! - energy above the most stable polymorph in this dataset (eV per atom) = 0.145
! - formation energy from the elements (eV per atom) = 0.39

=====

! LaPm5Pr3, relaxed, DFT PBE-GGA; values from VASP
&SYSTEM
  ibrav = 0, nat = 18, ntyp = 3
/
ATOMIC_SPECIES
La 138.91 La.upf
Pm 145.00 Pm.upf
Pr 140.91 Pr.upf
ATOMIC_POSITIONS crystal
La 0.108 0.108 0.366
La 0.892 0.892 0.634
Pm 0.095 0.482 0.728
Pm 0.318 0.682 0.500
Pm 0.360 0.360 0.551
Pm 0.447 0.447 0.085
Pm 0.482 0.095 0.728
Pm 0.518 0.905 0.272
Pm 0.553 0.553 0.915
Pm 0.640 0.640 0.449
Pm 0.682 0.318 0.500
Pm 0.905 0.518 0.272
Pr 0.000 0.000 0.000
Pr 0.000 0.000 0.500
Pr 0.165 0.165 0.857
Pr 0.298 0.298 0.198
Pr 0.702 0.702 0.802
Pr 0.835 0.835 0.143
CELL_PARAMETERS angstrom
8.542 -4.255 0.000
8.542 4.255 0.000
-8.285 0.000 9.406
! - total energy (Ha/atom) = -0.16260
! - energy above the most stable polymorph in this dataset (eV per atom) = 0.232
! - formation energy from the elements (eV per atom) = 0.36

=====

! LaPm6Pr2, relaxed, DFT PBE-GGA; values from VASP
&SYSTEM
  ibrav = 0, nat = 9, ntyp = 3
/
ATOMIC_SPECIES
La 138.91 La.upf
Pm 145.00 Pm.upf
Pr 140.91 Pr.upf
ATOMIC_POSITIONS crystal
La 0.000 0.000 0.000
Pm 0.001 0.335 0.500
Pm 0.333 0.333 0.500
Pm 0.335 0.001 0.500
Pm 0.665 0.999 0.500
Pm 0.667 0.667 0.500
Pm 0.999 0.665 0.500
Pr 0.333 0.667 0.000
Pr 0.667 0.333 0.000
CELL_PARAMETERS angstrom
5.028 -8.757 0.000
5.028 8.757 0.000
0.000 0.000 3.581
! - total energy (Ha/atom) = -0.17371
! - energy above the most stable polymorph in this dataset (eV per atom) = 0.000
! - formation energy from the elements (eV per atom) = 0.05

=====

! La3Pm2Pr5, relaxed, DFT PBE-GGA; values from VASP
&SYSTEM
  ibrav = 0, nat = 20, ntyp = 3
/
ATOMIC_SPECIES
La 138.91 La.upf
Pm 145.00 Pm.upf
Pr 140.91 Pr.upf
ATOMIC_POSITIONS crystal
La 0.024 0.075 0.349
La 0.175 0.526 0.450
La 0.424 0.274 0.949
La 0.576 0.726 0.051
La 0.825 0.474 0.550
La 0.976 0.925 0.651
Pm 0.075 0.224 0.050
Pm 0.326 0.975 0.549
Pm 0.674 0.025 0.451
Pm 0.925 0.776 0.950
Pr 0.125 0.374 0.751
Pr 0.225 0.675 0.150
Pr 0.274 0.825 0.850
Pr 0.374 0.123 0.249
Pr 0.476 0.424 0.650
Pr 0.524 0.576 0.350
Pr 0.626 0.877 0.751
Pr 0.726 0.175 0.150
Pr 0.775 0.325 0.850
Pr 0.875 0.626 0.249
CELL_PARAMETERS angstrom
9.815 0.000 0.000
-4.151 8.900 0.000
-2.825 -4.450 8.290
! - total energy (Ha/atom) = -0.17655
! - formation energy from the elements (eV per atom) = 0.01

=====

! La4PmPr2, relaxed, DFT PBE-GGA; values from VASP
&SYSTEM
  ibrav = 0, nat = 14, ntyp = 3
/
ATOMIC_SPECIES
La 138.91 La.upf
Pm 145.00 Pm.upf
Pr 140.91 Pr.upf
ATOMIC_POSITIONS crystal
La 0.147 0.145 0.001
La 0.245 0.213 0.468
La 0.245 0.776 0.032
La 0.356 0.855 0.501
La 0.644 0.145 0.499
La 0.755 0.224 0.968
La 0.755 0.787 0.532
La 0.853 0.855 0.999
Pm 0.500 0.000 0.000
Pm 0.500 0.500 0.500
Pr 0.000 0.500 0.500
Pr 0.030 0.280 0.750
Pr 0.500 0.500 0.000
Pr 0.970 0.720 0.250
CELL_PARAMETERS angstrom
-3.506 5.909 6.218
3.506 -5.909 6.218
3.506 5.909 -6.218
! - total energy (Ha/atom) = -0.17176
! - energy above the most stable polymorph in this dataset (eV per atom) = 0.029
! - formation energy from the elements (eV per atom) = 0.19

=====

! La8Pm5Pr, relaxed, DFT PBE-GGA; values from VASP
&SYSTEM
  ibrav = 0, nat = 14, ntyp = 3
/
ATOMIC_SPECIES
La 138.91 La.upf
Pm 145.00 Pm.upf
Pr 140.91 Pr.upf
ATOMIC_POSITIONS crystal
La 0.181 0.417 0.609
La 0.323 0.221 0.244
La 0.427 0.819 0.235
La 0.583 0.192 0.765
La 0.779 0.024 0.102
La 0.808 0.573 0.391
La 0.922 0.677 0.898
La 0.976 0.078 0.756
Pm 0.073 0.473 0.190
Pm 0.117 0.927 0.400
Pm 0.282 0.883 0.810
Pm 0.527 0.718 0.600
Pm 0.750 0.250 0.500
Pr 0.500 0.500 0.000
CELL_PARAMETERS angstrom
-4.931 4.931 5.275
4.931 -4.931 5.275
4.931 4.931 -5.275
! - total energy (Ha/atom) = -0.17081
! - formation energy from the elements (eV per atom) = 0.21

=====

! La2Pm2Pr7, relaxed, DFT PBE-GGA; values from VASP
&SYSTEM
  ibrav = 0, nat = 11, ntyp = 3
/
ATOMIC_SPECIES
La 138.91 La.upf
Pm 145.00 Pm.upf
Pr 140.91 Pr.upf
ATOMIC_POSITIONS crystal
La 0.228 0.228 0.090
La 0.772 0.772 0.910
Pm 0.219 0.781 0.000
Pm 0.781 0.219 0.000
Pr 0.000 0.000 0.500
Pr 0.056 0.587 0.324
Pr 0.413 0.944 0.676
Pr 0.419 0.419 0.696
Pr 0.581 0.581 0.304
Pr 0.587 0.056 0.324
Pr 0.944 0.413 0.676
CELL_PARAMETERS angstrom
5.851 -5.931 0.000
5.851 5.931 0.000
-2.368 0.000 5.795
! - total energy (Ha/atom) = -0.17167
! - formation energy from the elements (eV per atom) = 0.13

=====

! La2Pm3Pr6, relaxed, DFT PBE-GGA; values from VASP
&SYSTEM
  ibrav = 0, nat = 11, ntyp = 3
/
ATOMIC_SPECIES
La 138.91 La.upf
Pm 145.00 Pm.upf
Pr 140.91 Pr.upf
ATOMIC_POSITIONS crystal
La 0.059 0.059 0.000
La 0.941 0.941 0.000
Pm 0.339 0.339 0.000
Pm 0.500 0.500 0.000
Pm 0.661 0.661 0.000
Pr 0.097 0.597 0.500
Pr 0.201 0.201 0.000
Pr 0.403 0.903 0.500
Pr 0.597 0.097 0.500
Pr 0.799 0.799 0.000
Pr 0.903 0.403 0.500
CELL_PARAMETERS angstrom
-2.913 2.913 12.519
2.913 -2.913 12.519
2.913 2.913 -12.519
! - total energy (Ha/atom) = -0.16092
! - energy above the most stable polymorph in this dataset (eV per atom) = 0.406
! - formation energy from the elements (eV per atom) = 0.42

=====

! La4Pm2Pr5, relaxed, DFT PBE-GGA; values from VASP
&SYSTEM
  ibrav = 0, nat = 11, ntyp = 3
/
ATOMIC_SPECIES
La 138.91 La.upf
Pm 145.00 Pm.upf
Pr 140.91 Pr.upf
ATOMIC_POSITIONS crystal
La 0.201 0.500 0.701
La 0.230 0.230 0.000
La 0.770 0.770 0.000
La 0.799 0.500 0.299
Pm 0.096 0.096 0.000
Pm 0.904 0.904 0.000
Pr 0.159 0.355 0.805
Pr 0.450 0.645 0.805
Pr 0.500 0.000 0.500
Pr 0.550 0.355 0.195
Pr 0.841 0.645 0.195
CELL_PARAMETERS angstrom
-1.802 4.759 11.965
1.802 -4.759 11.965
1.802 4.759 -11.965
! - total energy (Ha/atom) = -0.17040
! - energy above the most stable polymorph in this dataset (eV per atom) = 0.125
! - formation energy from the elements (eV per atom) = 0.19